PBE Dy2ErB6, optimized geometry; total magnetization = 0.0 μB/f.u.; formation enthalpy at 0 K = -0.586 eV/atom; calculated total energy = -6.567 eV/atom; space group = P6/mmm
1.0
5.6847 0.0000 0.0000
-2.8423 4.9231 0.0000
0.0000 0.0000 3.8603
Dy Er B
2 1 6
Direct
0.3333 0.6667 0.0000
0.6667 0.3333 0.0000
0.0000 0.0000 0.0000
0.0000 0.3319 0.5000
0.0000 0.6681 0.5000
0.3319 0.0000 0.5000
0.3319 0.3319 0.5000
0.6681 0.0000 0.5000
0.6681 0.6681 0.5000